YCd2W | Alexandria | PBEsol | optimized geometry; spin magnetization = 0.00 μB/f.u.; DOS(E_F) = 2.09 states/eV/f.u.; energy = -5.28 eV/atom; ΔH_f (0 K) = 183 kJ/mol of formula units; energy above the most stable polymorph in this dataset = 0.24 eV/f.u.
1.0
5.1313 0.0000 0.0000
0.0000 5.1313 0.0000
0.0000 0.0000 3.0086
Y Cd W
1 2 1
Direct
0.0000 0.0000 0.0000
0.0000 0.5000 0.5000
0.5000 0.0000 0.5000
0.5000 0.5000 0.0000


K2ZrF6 | Alexandria | PBEsol | optimized geometry; spin magnetization = 0.00 μB/f.u.; DOS(E_F) = 0.00 states/eV/f.u.; energy = -5.99 eV/atom; raw formation energy = -3.439 eV/atom
1.0
3.2636 -5.6919 0.0000
3.2636 5.6919 0.0000
-0.0593 0.0000 6.9261
K Zr F
4 2 12
Direct
0.1361 0.8209 0.9968
0.1791 0.8639 0.5032
0.8209 0.1361 0.4968
0.8639 0.1791 0.0032
0.4535 0.5465 0.7500
0.5465 0.4535 0.2500
0.1162 0.5009 0.7225
0.1929 0.2236 0.2864
0.2236 0.1929 0.7864
0.3626 0.5614 0.0456
0.4386 0.6374 0.4544
0.4991 0.8838 0.7775
0.5009 0.1162 0.2225
0.5614 0.3626 0.5456
0.6374 0.4386 0.9544
0.7764 0.8071 0.2136
0.8071 0.7764 0.7136
0.8838 0.4991 0.2775


BaNbIn2F | Alexandria | PBEsol | optimized geometry; spin magnetization = 3.56 μB/f.u.; DOS(E_F) = 6.42 states/eV/f.u.; energy = -3.71 eV/atom; raw formation energy = 0.463 eV/atom
1.0
6.2331 0.0000 0.0000
0.0000 6.2331 0.0000
0.0000 0.0000 4.5337
Ba Nb In F
1 1 2 1
Direct
0.0000 0.0000 0.0000
0.5000 0.5000 0.5000
0.0000 0.5000 0.0000
0.5000 0.0000 0.0000
0.0000 0.0000 0.5000


Mn2NbRe | Alexandria | PBEsol | optimized geometry; spin magnetization = 1.61 μB/f.u.; DOS(E_F) = 6.99 states/eV/f.u.; energy = -10.83 eV/atom; ΔH_f (0 K) = 34 kJ/mol of formula units
1.0
0.0000 2.9864 2.9864
2.9864 0.0000 2.9864
2.9864 2.9864 0.0000
Mn Nb Re
2 1 1
Direct
0.2500 0.2500 0.2500
0.7500 0.7500 0.7500
0.0000 0.0000 0.0000
0.5000 0.5000 0.5000


LaPWS2 | Alexandria | PBEsol | optimized geometry; spin magnetization = 2.64 μB/f.u.; DOS(E_F) = 5.53 states/eV/f.u.; energy = -5.39 eV/atom; raw formation energy = 1.353 eV/atom
1.0
5.2623 0.0000 0.0000
0.0000 5.2623 0.0000
0.0000 0.0000 5.3854
La P W S
1 1 1 2
Direct
0.0000 0.0000 0.0000
0.0000 0.0000 0.5000
0.5000 0.5000 0.5000
0.0000 0.5000 0.0000
0.5000 0.0000 0.0000


Tb3Er | Alexandria | PBEsol | optimized geometry; spin magnetization = 0.00 μB/f.u.; DOS(E_F) = 4.91 states/eV/f.u.; energy = -4.98 eV/atom; ΔH_f (0 K) = 5 kJ/mol of formula units
1.0
4.9005 0.0000 0.0000
0.0000 4.9005 0.0000
0.0000 0.0000 4.9005
Tb Er
3 1
Direct
0.0000 0.0000 0.5000
0.0000 0.5000 0.0000
0.5000 0.0000 0.0000
0.5000 0.5000 0.5000


MgAlAg2 | Alexandria | PBEsol | optimized geometry; spin magnetization = 0.00 μB/f.u.; DOS(E_F) = 0.78 states/eV/f.u.; energy = -3.31 eV/atom; ΔH_f (0 K) = -78 kJ/mol of formula units; energy above the most stable polymorph in this dataset = 0.00 eV/f.u.
1.0
0.0000 3.2127 3.2127
3.2127 0.0000 3.2127
3.2127 3.2127 0.0000
Mg Al Ag
1 1 2
Direct
0.0000 0.0000 0.0000
0.5000 0.5000 0.5000
0.2500 0.2500 0.2500
0.7500 0.7500 0.7500


EuGd2S4 | Alexandria | PBEsol | optimized geometry; spin magnetization = 7.00 μB/f.u.; DOS(E_F) = 16.87 states/eV/f.u.; energy = -10.35 eV/atom; raw formation energy = -2.203 eV/atom
1.0
-4.1709 4.1709 4.1449
4.1709 -4.1709 4.1449
4.1709 4.1709 -4.1449
Eu Gd S
2 4 8
Direct
0.0000 0.0000 0.0000
0.7500 0.2500 0.5000
0.2481 0.1250 0.6231
0.3750 0.7519 0.8769
0.5019 0.6250 0.3769
0.8750 0.4981 0.1231
0.1314 0.3827 0.4032
0.1327 0.3814 0.9032
0.2718 0.8686 0.2513
0.4782 0.2295 0.0968
0.6173 0.0205 0.7487
0.6186 0.5218 0.7513
0.7705 0.8673 0.2487
0.9795 0.7282 0.5968


What is the spin magnetization in the fourth record?
1.61 μB/f.u.


The highest DOS(E_F) belongs to which entry?
EuGd2S4